Here is Zr2InOsCl after structural relaxation from Alexandria. Energies are from GGA-PBE.

Results
As for the electronic total energy: -6.08 eV/atom. The calculation puts the density of states at the Fermi level at 5.39 states/eV per cell. Its formation energy from raw total energies is 0.498 eV per atom.

Lattice parameters (Å, degrees): 5.1705 5.1705 4.6229 90.00 90.00 90.00
Last column: nearest neighbours and their distance in Å.
Space group P4/mmm (No. 123)
Inequivalent atoms, fractional coordinates:
Zr1 0.0000 0.5000 0.0000  2 Os 2.59
In1 0.0000 0.0000 0.5000  8 Zr 3.47, 4 Cl 3.66
Os1 0.5000 0.5000 0.0000  2 Cl 2.31, 4 Zr 2.59
Cl1 0.5000 0.5000 0.5000  2 Os 2.31